Entry 1:
Here is a relaxed structure of Ca2CeAs3Rh4 from Alexandria. Energies are from PBE-GGA.

Cell: 4.186 4.186 11.197 Å, 90.00 90.00 90.00°
Space group P-4m2 (No. 115)
Inequivalent atoms, fractional coordinates:
1 Ca 0.000 0.500 0.220 (multiplicity 2)
2 Ce 0.000 0.000 0.500 (multiplicity 1)
3 As 0.000 0.500 0.872 (multiplicity 2)
4 As 0.500 0.500 0.500 (multiplicity 1)
5 Rh 0.000 0.000 0.000 (multiplicity 1)
6 Rh 0.000 0.500 0.654 (multiplicity 2)
7 Rh 0.500 0.500 0.000 (multiplicity 1)

Computed properties:
**Total energy**: -0.45346 Ry per atom
**DFT formation energy**: -840.5 meV per atom
**Crystal system**: tetragonal

Entry 2:
Here is a relaxed structure of LiTaBr2 from Alexandria. Energies are from PBE-GGA.

Cell: 6.785 8.071 3.258 Å, 90.00 90.31 90.00°
Space group C2/m (No. 12)
Inequivalent atoms, fractional coordinates:
1 Li 0.000 0.000 0.000 (multiplicity 2)
2 Ta 0.000 0.500 0.000 (multiplicity 2)
3 Br 0.250 0.250 0.000 (multiplicity 4)

Computed properties:
**E_form (uncorrected)**: 0.030 eV/atom
**Total energy**: -0.31225 Ry per atom
**Energy above the lowest structure with this stoichiometry**: 332.6 meV per atom
**Crystal system**: monoclinic

Entry 3:
Here is a relaxed structure of GdGaCuHg from Alexandria. Energies are from PBE-GGA.

Cell: 6.828 6.828 6.828 Å, 90.00 90.00 90.00°
Space group F-43m (No. 216)
Inequivalent atoms, fractional coordinates:
1 Gd 0.000 0.000 0.000 (multiplicity 4)
2 Ga 0.250 0.250 0.250 (multiplicity 4)
3 Cu 0.250 0.250 0.750 (multiplicity 4)
4 Hg 0.000 0.000 0.500 (multiplicity 4)

Computed properties:
**Total energy**: -0.41417 Ry per atom
**DFT formation energy**: -258.7 meV per atom
**Crystal system**: cubic

Entry 4:
Here is a relaxed structure of Cd24Sb5 from Alexandria. Energies are from PBE-GGA.

Cell: 11.208 11.208 11.208 Å, 90.00 90.00 90.00°
Space group I-43m (No. 217)
Inequivalent atoms, fractional coordinates:
1 Cd 0.057 0.369 0.369 (multiplicity 24)
2 Cd 0.104 0.104 0.294 (multiplicity 24)
3 Sb 0.000 0.000 0.000 (multiplicity 2)
4 Sb 0.156 0.156 0.844 (multiplicity 8)

Computed properties:
**E_form (uncorrected)**: 0.056 eV/atom
**Total energy**: -0.10382 Ry per atom
**Crystal system**: cubic

Entry 5:
Here is a relaxed structure of BeIrAu from Alexandria. Energies are from PBE-GGA.

Cell: 2.908 3.060 9.381 Å, 90.00 90.00 90.00°
Space group Amm2 (No. 38)
Inequivalent atoms, fractional coordinates:
1 Be 0.000 0.000 0.000 (multiplicity 2)
2 Ir 0.500 0.000 0.409 (multiplicity 2)
3 Au 0.000 0.000 0.692 (multiplicity 2)

Computed properties:
**Total energy**: -0.39426 Ry per atom
**Energy above the lowest structure with this stoichiometry**: 53.0 meV per atom
**DFT formation energy**: -76.0 meV per atom
**Crystal system**: orthorhombic

Entry 6:
Here is a relaxed structure of HgTeP3 from Alexandria. Energies are from PBE-GGA.

Cell: 5.125 5.125 5.125 Å, 90.00 90.00 90.00°
Space group Pm-3m (No. 221)
Inequivalent atoms, fractional coordinates:
1 Hg 0.000 0.000 0.000 (multiplicity 1)
2 Te 0.500 0.500 0.500 (multiplicity 1)
3 P 0.000 0.500 0.500 (multiplicity 3)

Computed properties:
**E_form (uncorrected)**: 1.250 eV/atom
**Total energy**: -0.19734 Ry per atom
**Energy above the lowest structure with this stoichiometry**: 0.0 meV per atom
**Crystal system**: cubic

Entry 7:
Here is a relaxed structure of Pm2AgBi3 from Alexandria. Energies are from PBE-GGA.

Cell: 12.225 6.701 9.897 Å, 90.00 113.72 90.00°
Space group C2/c (No. 15)
Inequivalent atoms, fractional coordinates:
1 Pm 0.181 0.005 0.091 (multiplicity 8)
2 Ag 0.000 0.320 0.250 (multiplicity 4)
3 Bi 0.000 0.106 0.750 (multiplicity 4)
4 Bi 0.141 0.496 0.571 (multiplicity 8)

Computed properties:
**Total energy**: -0.32539 Ry per atom
**DFT formation energy**: -427.9 meV per atom
**Crystal system**: monoclinic

Entry 8:
Here is a relaxed structure of Sr3Ga4Hg4 from Alexandria. Energies are from PBE-GGA.

Cell: 4.074 4.852 14.844 Å, 96.68 97.84 90.06°
Space group P-1 (No. 2)
Inequivalent atoms, fractional coordinates:
1 Sr 0.000 0.000 0.000 (multiplicity 1)
2 Sr 0.147 0.594 0.294 (multiplicity 2)
3 Ga 0.256 0.327 0.514 (multiplicity 2)
4 Ga 0.406 0.934 0.808 (multiplicity 2)
5 Hg 0.308 0.890 0.618 (multiplicity 2)
6 Hg 0.450 0.465 0.898 (multiplicity 2)

Computed properties:
**Total energy**: -0.15199 Ry per atom
**DFT formation energy**: -398.8 meV per atom
**Crystal system**: triclinic

Entry 9:
Here is a relaxed structure of Mn2CoSi from Alexandria. Energies are from PBE-GGA.

Cell: 2.631 4.103 4.184 Å, 90.00 90.00 90.00°
Space group Pmm2 (No. 25)
Inequivalent atoms, fractional coordinates:
1 Mn 0.000 0.000 0.000 (multiplicity 1)
2 Mn 0.000 0.500 0.299 (multiplicity 1)
3 Co 0.500 0.000 0.502 (multiplicity 1)
4 Si 0.500 0.500 0.802 (multiplicity 1)

Computed properties:
**E_form (uncorrected)**: -0.206 eV/atom
**Total energy**: -0.58230 Ry per atom
**Crystal system**: orthorhombic

Entry 10:
Here is a relaxed structure of KY3As from Alexandria. Energies are from PBE-GGA.

Cell: 5.642 5.642 5.642 Å, 90.00 90.00 90.00°
Space group Pm-3m (No. 221)
Inequivalent atoms, fractional coordinates:
1 K 0.000 0.000 0.000 (multiplicity 1)
2 Y 0.000 0.500 0.500 (multiplicity 3)
3 As 0.500 0.500 0.500 (multiplicity 1)

Computed properties:
**Total energy**: -0.37924 Ry per atom
**Energy above the lowest structure with this stoichiometry**: 0.0 meV per atom
**DFT formation energy**: -132.0 meV per atom
**Crystal system**: cubic

Entry 11:
Here is a relaxed structure of Ni3HgPb from Alexandria. Energies are from PBE-GGA.

Cell: 4.777 4.777 4.777 Å, 90.00 90.00 90.00°
Space group Pm-3m (No. 221)
Inequivalent atoms, fractional coordinates:
1 Ni 0.000 0.000 0.500 (multiplicity 3)
2 Hg 0.000 0.000 0.000 (multiplicity 1)
3 Pb 0.500 0.500 0.500 (multiplicity 1)

Computed properties:
**Total energy**: -0.23684 Ry per atom
**Energy above the lowest structure with this stoichiometry**: 0.0 meV per atom
**DFT formation energy**: 1048.4 meV per atom
**Crystal system**: cubic

Entry 12:
Here is a relaxed structure of Y6TeC3S2 from Alexandria. Energies are from PBE-GGA.

Cell: 17.121 3.773 7.897 Å, 90.00 106.92 90.00°
Space group C2/m (No. 12)
Inequivalent atoms, fractional coordinates:
1 Y 0.011 0.000 0.214 (multiplicity 4)
2 Y 0.160 0.500 0.103 (multiplicity 4)
3 Y 0.181 0.500 0.564 (multiplicity 4)
4 Te 0.000 0.500 0.500 (multiplicity 2)
5 C 0.000 0.500 0.000 (multiplicity 2)
6 C 0.169 0.000 0.329 (multiplicity 4)
7 S 0.167 0.000 0.834 (multiplicity 4)

Computed properties:
**E_form (uncorrected)**: -1.112 eV/atom
**Total energy**: -0.55860 Ry per atom
**Crystal system**: monoclinic